1.
! Hf6SnHg (PBE, relaxed); values from VASP
&SYSTEM
  ibrav = 0, nat = 8, ntyp = 3
/
ATOMIC_SPECIES
Hf 178.49 Hf.upf
Sn 118.71 Sn.upf
Hg 200.59 Hg.upf
CELL_PARAMETERS angstrom
-0.229 -3.713 -1.903
4.544 3.371 -7.126
1.729 -2.937 5.522
ATOMIC_POSITIONS crystal
Hf 0.000 0.872 0.245
Hf 0.000 0.373 0.245
Hf 0.000 0.370 0.739
Hf 0.500 0.617 0.744
Hf 0.500 0.127 0.744
Hf 0.500 0.134 0.268
Sn 0.500 0.620 0.240
Hg 0.000 0.888 0.776
! SG = Amm2
! Formation enthalpy at 0 K = -0.09 eV/atom
! Total magnetization = 0.0 μB per formula unit

=====

2.
! PmSmPd4 (PBE, relaxed); values from VASP
&SYSTEM
  ibrav = 0, nat = 6, ntyp = 3
/
ATOMIC_SPECIES
Pm 145.00 Pm.upf
Sm 150.36 Sm.upf
Pd 106.42 Pd.upf
CELL_PARAMETERS angstrom
3.954 0.000 -0.001
0.000 3.955 -0.002
0.004 0.006 8.767
ATOMIC_POSITIONS crystal
Pm 0.501 0.497 0.998
Sm 0.001 0.997 0.498
Pd 0.501 0.997 0.249
Pd 0.501 0.997 0.747
Pd 0.001 0.497 0.747
Pd 0.001 0.497 0.249
! SG = P4/mmm
! Offset from the most stable computed form = 275 meV/atom
! Formation enthalpy at 0 K = -0.55 eV/atom
! Total magnetization = 0.0 μB per formula unit

=====

3.
! ThGe2Pd5 (PBE, relaxed); values from VASP
&SYSTEM
  ibrav = 0, nat = 8, ntyp = 3
/
ATOMIC_SPECIES
Th 232.04 Th.upf
Ge 72.64 Ge.upf
Pd 106.42 Pd.upf
CELL_PARAMETERS angstrom
-0.503 1.443 3.672
-6.070 -1.256 1.816
-0.336 -5.002 4.073
ATOMIC_POSITIONS crystal
Th 0.000 0.000 0.000
Ge 0.753 0.747 0.747
Ge 0.247 0.253 0.253
Pd 0.000 0.500 0.500
Pd 0.643 0.555 0.158
Pd 0.357 0.445 0.842
Pd 0.357 0.842 0.445
Pd 0.643 0.158 0.555
! SG = Immm
! Formation enthalpy at 0 K = -0.65 eV/atom
! Total magnetization = 0.0 μB per formula unit

=====

4.
! SrLiHg14 (PBE, relaxed); values from VASP
&SYSTEM
  ibrav = 0, nat = 32, ntyp = 3
/
ATOMIC_SPECIES
Sr 87.62 Sr.upf
Li 6.94 Li.upf
Hg 200.59 Hg.upf
CELL_PARAMETERS angstrom
-4.265 8.550 6.179
4.265 -8.550 6.179
4.265 8.550 -6.179
ATOMIC_POSITIONS crystal
Sr 0.036 0.750 0.286
Sr 0.964 0.250 0.714
Li 0.500 0.000 0.000
Li 0.500 0.500 0.500
Hg 0.386 0.374 0.012
Hg 0.614 0.626 0.988
Hg 0.863 0.874 0.988
Hg 0.137 0.126 0.012
Hg 0.340 0.884 0.456
Hg 0.660 0.116 0.544
Hg 0.928 0.384 0.544
Hg 0.072 0.616 0.456
Hg 0.679 0.903 0.776
Hg 0.321 0.097 0.224
Hg 0.627 0.403 0.224
Hg 0.373 0.597 0.776
Hg 0.243 0.582 0.045
Hg 0.757 0.801 0.339
Hg 0.037 0.082 0.339
Hg 0.963 0.301 0.045
Hg 0.757 0.418 0.955
Hg 0.243 0.199 0.661
Hg 0.963 0.918 0.661
Hg 0.037 0.699 0.955
Hg 0.766 0.186 0.198
Hg 0.234 0.433 0.421
Hg 0.488 0.686 0.421
Hg 0.512 0.933 0.198
Hg 0.234 0.814 0.802
Hg 0.766 0.567 0.579
Hg 0.512 0.314 0.579
Hg 0.488 0.067 0.802
! SG = Imma
! Formation enthalpy at 0 K = -0.13 eV/atom
! Total magnetization = 0.0 μB per formula unit